{"formula": "MnAsF2", "functional": "PBE+U", "state": "optimized geometry", "dft_energy_ev_per_fu": -22.22, "density_g_cm3": 3.51, "dos_ef_per_ev_fu": 1.3, "de_polymorph_mev_per_atom": 0.0, "spacegroup": "R-3m", "magmom_total_mub_per_atom": 1.243, "lattice_angstrom": [[1.803, 0.000, 9.395], [-0.902, 1.561, 9.395], [-0.902, -1.561, 9.395]], "species": ["F", "F", "As", "Mn"], "frac_coords": [[0.872, 0.872, 0.872], [0.128, 0.128, 0.128], [0.000, 0.000, 0.000], [0.500, 0.500, 0.500]]}